1.
Density functional theory data (GGA-PBE) for Sm2YHo9 after structural relaxation.

```
Sm2YHo9
1.0
-0.525 3.455 -0.048
-5.048 -0.629 9.985
11.065 1.673 -0.589
Y Ho Sm
1 9 2
Cartesian
0.000 0.000 0.000
3.008 0.522 4.698
-2.491 1.501 8.110
-0.093 1.800 3.368
2.765 2.296 7.831
7.982 2.998 1.238
5.532 0.837 -0.294
5.585 2.699 5.980
2.727 2.203 1.517
-2.524 -0.314 4.992
5.694 0.906 2.936
0.323 0.138 6.460
```

Output
The value obtained for the total energy is -4.698 eV/atom. For the formation energy from the elements, the calculation gives 60 meV per atom. As for the crystal system: hexagonal. The value obtained for the mass density is 8.2 g/cm3.


2.
Density functional theory data (GGA-PBE) for Sm5Y12Ho after structural relaxation.

```
Sm5Y12Ho
1.0
15.191 -0.010 0.006
7.590 7.602 0.003
-0.002 0.000 5.069
Sm Y Ho
5 12 1
Cartesian
7.595 -0.005 2.538
7.591 5.078 2.538
15.188 5.058 0.007
15.189 2.513 2.541
7.593 2.533 5.072
2.525 2.526 0.001
17.724 5.055 2.542
12.651 7.598 0.006
12.662 2.518 5.074
2.523 -0.002 2.536
10.119 5.073 0.005
10.129 -0.007 5.072
5.057 2.536 2.537
12.651 5.058 2.540
20.255 5.065 5.077
10.130 2.533 2.538
20.257 7.592 2.543
0.000 0.000 0.000
```

Output
The value obtained for the total energy is -5.854 eV/atom. For the formation energy from the elements, the calculation gives 21 meV per atom. As for the crystal system: monoclinic. The value obtained for the mass density is 5.6 g/cm3.


3.
Density functional theory data (GGA-PBE) for SmY12Ho5 after structural relaxation.

```
SmY12Ho5
1.0
-6.025 13.739 -1.742
-9.839 3.755 -1.825
-0.816 0.271 4.959
Y Ho Sm
12 5 1
Cartesian
-9.992 9.526 0.389
-11.984 14.068 -0.187
-6.689 8.240 1.003
-7.307 10.416 -1.772
-6.556 2.515 -1.216
-9.373 7.349 3.163
-5.431 11.589 1.027
-1.411 2.422 2.189
-4.697 3.697 1.579
-2.832 4.868 4.376
-10.125 15.251 2.608
-4.009 9.142 -1.159
-8.719 12.832 0.418
-5.287 5.832 -1.189
-7.962 4.933 0.974
-3.421 7.005 1.608
-10.578 11.662 -2.378
0.000 0.000 0.000
```

Output
The value obtained for the total energy is -5.819 eV/atom. For the formation energy from the elements, the calculation gives 24 meV per atom. As for the crystal system: orthorhombic. The value obtained for the mass density is 5.9 g/cm3.


4.
Density functional theory data (GGA-PBE) for Sm2Y4Ho after structural relaxation.

```
Sm2Y4Ho
1.0
5.661 0.000 0.000
-2.830 4.885 0.000
0.000 0.000 16.691
Y Sm Ho
8 4 2
Cartesian
2.830 3.276 12.518
2.830 3.240 5.883
2.830 3.240 2.462
0.000 1.609 4.173
0.000 1.646 14.229
2.830 0.000 8.345
0.000 1.646 10.808
2.830 0.000 0.000
2.830 3.268 15.761
0.000 1.617 7.415
0.000 1.617 0.930
2.830 3.268 9.276
2.830 0.018 12.518
0.000 4.867 4.173
```

Output
The value obtained for the total energy is -5.532 eV/atom. For the formation energy from the elements, the calculation gives 164 meV per atom. As for the crystal system: orthorhombic. The value obtained for the mass density is 5.9 g/cm3.


5.
Density functional theory data (GGA-PBE) for SmYHo3 after structural relaxation.

```
SmYHo3
1.0
-7.731 -2.869 -9.823
-2.675 -3.025 2.988
-2.335 4.001 1.960
Ho Y Sm
6 2 2
Cartesian
-7.127 -0.882 -3.471
-6.683 -2.221 -0.208
-10.855 -4.742 -6.493
-2.955 1.639 2.814
-7.745 -3.057 -6.227
-6.065 -0.045 2.547
-7.301 -4.396 -2.962
-6.510 1.293 -0.717
-3.563 -0.534 0.070
-10.247 -2.568 -3.750
```

Output
The value obtained for the total energy is -4.962 eV/atom. For the formation energy from the elements, the calculation gives 22 meV per atom. As for the crystal system: orthorhombic. The value obtained for the mass density is 7.7 g/cm3.


6.
Density functional theory data (GGA-PBE) for SmY5Ho5 after structural relaxation.

```
SmY5Ho5
1.0
-1.081 2.635 -6.233
-5.680 -6.072 0.446
-9.377 -0.240 1.246
Ho Y Sm
5 5 1
Cartesian
-11.839 -0.954 -3.963
-0.541 1.317 -3.116
-6.482 0.110 -0.462
-9.657 -3.787 -4.079
-4.300 -2.723 -0.579
-5.741 -1.209 -3.487
-7.528 -3.156 0.846
-10.397 -2.468 -1.054
-3.324 0.316 -1.665
-12.815 -3.993 -2.876
0.000 0.000 0.000
```

Output
The value obtained for the total energy is -5.300 eV/atom. For the formation energy from the elements, the calculation gives 148 meV per atom. As for the crystal system: triclinic. The value obtained for the mass density is 6.5 g/cm3.


7.
Density functional theory data (GGA-PBE) for Sm4YHo8 after structural relaxation.

```
Sm4YHo8
1.0
9.663 -0.001 -5.213
-6.238 9.036 0.000
-2.339 -1.614 7.227
Ho Sm Y
8 4 1
Cartesian
1.457 1.006 2.700
-1.494 5.640 2.780
-5.301 6.481 1.736
-2.057 1.782 1.736
3.144 5.640 0.278
-0.370 6.416 -0.686
6.388 0.940 0.278
2.581 1.781 -0.766
-3.119 4.518 0.000
0.000 0.000 0.000
1.713 4.518 -2.607
4.832 0.000 -2.607
-4.288 3.711 3.613
```

Output
The value obtained for the total energy is -4.255 eV/atom. For the formation energy from the elements, the calculation gives 511 meV per atom. As for the crystal system: cubic. The value obtained for the mass density is 7.1 g/cm3.


8.
Density functional theory data (GGA-PBE) for Sm6Y3Ho2 after structural relaxation.

```
Sm6Y3Ho2
1.0
3.589 0.000 0.220
1.788 3.112 0.220
-0.175 -0.101 32.207
Sm Ho Y
6 2 3
Cartesian
0.900 0.521 14.693
4.302 2.490 17.954
3.405 1.971 3.217
4.839 2.801 9.209
0.363 0.210 23.439
1.797 1.040 29.431
2.333 1.350 20.701
2.870 1.661 11.947
3.768 2.181 26.659
1.434 0.830 5.989
0.000 0.000 0.000
```

Output
The value obtained for the total energy is -5.155 eV/atom. For the formation energy from the elements, the calculation gives 14 meV per atom. As for the crystal system: trigonal. The value obtained for the mass density is 6.9 g/cm3.


9.
Density functional theory data (GGA-PBE) for Sm2YHo8 after structural relaxation.

```
Sm2YHo8
1.0
-2.000 -0.507 -5.159
3.671 -9.328 -0.023
-2.848 -9.281 2.499
Sm Ho Y
2 8 1
Cartesian
-1.263 -5.668 -3.158
0.087 -13.448 0.475
-1.746 -7.003 0.130
1.290 -7.025 -1.045
-0.023 -10.277 0.132
-0.314 -3.579 -0.745
0.570 -12.113 -2.812
-2.466 -12.091 -1.637
-1.153 -8.839 -2.815
-0.862 -15.537 -1.937
0.000 0.000 0.000
```

Output
The value obtained for the total energy is -4.609 eV/atom. For the formation energy from the elements, the calculation gives 165 meV per atom. As for the crystal system: monoclinic. The value obtained for the mass density is 7.8 g/cm3.


10.
Density functional theory data (GGA-PBE) for Sm5Y6Ho after structural relaxation.

```
Sm5Y6Ho
1.0
11.782 -1.358 0.000
1.779 5.967 0.000
0.889 2.983 5.388
Sm Y Ho
5 6 1
Cartesian
7.670 5.287 1.795
1.779 5.967 3.593
6.781 2.304 0.000
0.889 2.983 1.795
6.781 2.304 3.593
10.177 3.454 0.000
5.162 7.126 3.594
4.273 4.143 1.794
9.289 0.466 1.794
3.384 1.155 0.000
10.178 3.449 3.594
0.000 0.000 0.000
```

Output
The value obtained for the total energy is -5.565 eV/atom. For the formation energy from the elements, the calculation gives 15 meV per atom. As for the crystal system: monoclinic. The value obtained for the mass density is 6.1 g/cm3.


11.
Density functional theory data (GGA-PBE) for Sm4Y3Ho2 after structural relaxation.

```
Sm4Y3Ho2
1.0
-2.968 -4.089 -0.437
-0.629 4.320 -6.726
9.326 -7.681 8.550
Ho Y Sm
2 3 4
Cartesian
5.273 -4.107 2.624
0.456 -3.344 -1.236
0.000 0.000 0.000
1.235 -0.543 -3.312
4.494 -6.908 4.700
2.643 -2.057 1.298
7.133 -8.965 6.026
-1.404 1.514 -4.639
3.086 -5.394 0.089
```

Output
The value obtained for the total energy is -5.251 eV/atom. For the formation energy from the elements, the calculation gives 19 meV per atom. As for the crystal system: monoclinic. The value obtained for the mass density is 6.8 g/cm3.


12.
Density functional theory data (GGA-PBE) for Sm6Y2Ho after structural relaxation.

```
Sm6Y2Ho
1.0
5.428 0.003 -1.781
-0.989 14.077 -3.042
-1.391 -2.486 4.935
Ho Sm Y
1 6 2
Cartesian
-0.494 7.038 -1.521
0.663 6.909 2.012
2.987 1.499 -0.058
2.938 7.733 -0.219
0.111 3.860 0.331
2.385 4.685 -1.899
0.061 10.095 0.171
3.595 -1.653 1.804
-0.547 13.247 -1.691
```

Output
The value obtained for the total energy is -5.030 eV/atom. For the formation energy from the elements, the calculation gives 61 meV per atom. As for the crystal system: orthorhombic. The value obtained for the mass density is 7.0 g/cm3.


Please write out number 9 again, unchanged.
Density functional theory data (GGA-PBE) for Sm2YHo8 after structural relaxation.

```
Sm2YHo8
1.0
-2.000 -0.507 -5.159
3.671 -9.328 -0.023
-2.848 -9.281 2.499
Sm Ho Y
2 8 1
Cartesian
-1.263 -5.668 -3.158
0.087 -13.448 0.475
-1.746 -7.003 0.130
1.290 -7.025 -1.045
-0.023 -10.277 0.132
-0.314 -3.579 -0.745
0.570 -12.113 -2.812
-2.466 -12.091 -1.637
-1.153 -8.839 -2.815
-0.862 -15.537 -1.937
0.000 0.000 0.000
```

Output
The value obtained for the total energy is -4.609 eV/atom. For the formation energy from the elements, the calculation gives 165 meV per atom. As for the crystal system: monoclinic. The value obtained for the mass density is 7.8 g/cm3.